# Tb2GdHg | Alexandria via LeMat-Bulk | PBE | optimized geometry
data_Tb2GdHg
_chemical_formula_sum 'Tb2 Gd1 Hg1'
_symmetry_space_group_name_H-M 'P 1'
_symmetry_Int_Tables_number 1
_cell_length_a 5.4071
_cell_length_b 5.4071
_cell_length_c 5.4071
_cell_angle_alpha 60.00
_cell_angle_beta 60.00
_cell_angle_gamma 60.00
loop_
_symmetry_equiv_pos_as_xyz
'x,y,z'
loop_
_atom_site_label
_atom_site_fract_x
_atom_site_fract_y
_atom_site_fract_z
Tb1 0.2500 0.2500 0.2500
Tb2 0.7500 0.7500 0.7500
Gd1 0.0000 0.0000 0.0000
Hg1 0.5000 0.5000 0.5000
# ΔE_f (meV per atom): -67
# Space-group type: Fm-3m
# Crystal system: cubic
# Relative energy among the computed polymorphs (eV per formula unit): 0.62
# E (Ry/atom): -0.4394

# CaBAsBr2 | Alexandria via LeMat-Bulk | PBE | optimized geometry
data_CaBAsBr2
_chemical_formula_sum 'Ca1 B1 As1 Br2'
_symmetry_space_group_name_H-M 'P 1'
_symmetry_Int_Tables_number 1
_cell_length_a 5.1470
_cell_length_b 5.1470
_cell_length_c 4.2807
_cell_angle_alpha 90.00
_cell_angle_beta 90.00
_cell_angle_gamma 90.00
loop_
_symmetry_equiv_pos_as_xyz
'x,y,z'
loop_
_atom_site_label
_atom_site_fract_x
_atom_site_fract_y
_atom_site_fract_z
Ca1 0.5000 0.5000 0.5000
Br1 0.5000 0.0000 0.0000
Br2 0.0000 0.5000 0.0000
B1 0.0000 0.0000 0.0000
As1 0.0000 0.0000 0.5000
# Space-group type: P4/mmm
# Crystal system: tetragonal
# Relative energy among the computed polymorphs (eV per formula unit): 0.00
# E (Ry/atom): -0.2472

# Rb2TlSnBr5 | Alexandria via LeMat-Bulk | PBE | optimized geometry
data_Rb2TlSnBr5
_chemical_formula_sum 'Rb4 Tl2 Sn2 Br10'
_symmetry_space_group_name_H-M 'P 1'
_symmetry_Int_Tables_number 1
_cell_length_a 4.9952
_cell_length_b 10.2920
_cell_length_c 14.4217
_cell_angle_alpha 90.00
_cell_angle_beta 90.00
_cell_angle_gamma 104.04
loop_
_symmetry_equiv_pos_as_xyz
'x,y,z'
loop_
_atom_site_label
_atom_site_fract_x
_atom_site_fract_y
_atom_site_fract_z
Rb1 0.8905 0.7810 0.1874
Rb2 0.1095 0.2190 0.6874
Rb3 0.8550 0.7099 0.8029
Rb4 0.1450 0.2901 0.3029
Tl1 0.2189 0.4377 0.0188
Tl2 0.7811 0.5623 0.5188
Br1 0.6152 0.2303 0.4998
Br2 0.0519 0.1038 0.0602
Br3 0.4874 0.9747 0.7684
Br4 0.5126 0.0253 0.2684
Br5 0.2810 0.5619 0.6663
Br6 0.3848 0.7697 0.9998
Br7 0.7190 0.4381 0.1663
Br8 0.9481 0.8962 0.5602
Br9 0.6680 0.3360 0.8664
Br10 0.3320 0.6640 0.3664
Sn1 0.5326 0.0652 0.9537
Sn2 0.4674 0.9348 0.4537
# Space-group type: Cmc2_1
# Crystal system: orthorhombic
# E (Ry/atom): -0.2252

# Ta2PtCl | Alexandria via LeMat-Bulk | PBE | optimized geometry
data_Ta2PtCl
_chemical_formula_sum 'Ta4 Pt2 Cl2'
_symmetry_space_group_name_H-M 'P 1'
_symmetry_Int_Tables_number 1
_cell_length_a 5.7782
_cell_length_b 5.7782
_cell_length_c 6.8237
_cell_angle_alpha 64.95
_cell_angle_beta 64.95
_cell_angle_gamma 90.00
loop_
_symmetry_equiv_pos_as_xyz
'x,y,z'
loop_
_atom_site_label
_atom_site_fract_x
_atom_site_fract_y
_atom_site_fract_z
Cl1 0.2500 0.7500 0.5000
Cl2 0.5000 0.5000 0.0000
Ta1 0.6195 0.1250 0.2500
Ta2 0.1305 0.6250 0.2500
Ta3 0.8750 0.8695 0.7500
Ta4 0.3750 0.3805 0.7500
Pt1 0.0000 0.0000 0.0000
Pt2 0.7500 0.2500 0.5000
# Space-group type: I-42d
# Crystal system: tetragonal
# Relative energy among the computed polymorphs (eV per formula unit): 3.44
# E (Ry/atom): -0.5384

# BaZn3Os | Alexandria via LeMat-Bulk | PBE | optimized geometry
data_BaZn3Os
_chemical_formula_sum 'Ba1 Zn3 Os1'
_symmetry_space_group_name_H-M 'P 1'
_symmetry_Int_Tables_number 1
_cell_length_a 5.9384
_cell_length_b 5.9384
_cell_length_c 5.9384
_cell_angle_alpha 90.00
_cell_angle_beta 90.00
_cell_angle_gamma 90.00
loop_
_symmetry_equiv_pos_as_xyz
'x,y,z'
loop_
_atom_site_label
_atom_site_fract_x
_atom_site_fract_y
_atom_site_fract_z
Zn1 0.0000 0.0000 0.5000
Zn2 0.0000 0.5000 0.0000
Zn3 0.5000 0.0000 0.0000
Os1 0.5000 0.5000 0.5000
Ba1 0.0000 0.0000 0.0000
# ΔE_f (meV per atom): 2078
# Space-group type: Pm-3m
# Crystal system: cubic
# Relative energy among the computed polymorphs (eV per formula unit): 10.51
# E (Ry/atom): -0.0968

# Na2TlPb | Alexandria via LeMat-Bulk | PBE | optimized geometry
data_Na2TlPb
_chemical_formula_sum 'Na2 Tl1 Pb1'
_symmetry_space_group_name_H-M 'P 1'
_symmetry_Int_Tables_number 1
_cell_length_a 3.5553
_cell_length_b 3.5553
_cell_length_c 10.9513
_cell_angle_alpha 80.66
_cell_angle_beta 80.66
_cell_angle_gamma 60.00
loop_
_symmetry_equiv_pos_as_xyz
'x,y,z'
loop_
_atom_site_label
_atom_site_fract_x
_atom_site_fract_y
_atom_site_fract_z
Na1 0.2496 0.2496 0.2513
Na2 0.0838 0.0838 0.7487
Pb1 0.5002 0.5002 0.4993
Tl1 0.6664 0.6664 0.0007
# ΔE_f (meV per atom): -88
# Space-group type: R3m
# Crystal system: trigonal
# E (Ry/atom): -0.1666

# SmY5Tm4 | Alexandria via LeMat-Bulk | PBE | optimized geometry
data_SmY5Tm4
_chemical_formula_sum 'Sm1 Y5 Tm4'
_symmetry_space_group_name_H-M 'P 1'
_symmetry_Int_Tables_number 1
_cell_length_a 7.0210
_cell_length_b 8.8637
_cell_length_c 8.7466
_cell_angle_alpha 79.18
_cell_angle_beta 90.05
_cell_angle_gamma 37.67
loop_
_symmetry_equiv_pos_as_xyz
'x,y,z'
loop_
_atom_site_label
_atom_site_fract_x
_atom_site_fract_y
_atom_site_fract_z
Y1 0.1004 0.2005 0.5995
Y2 0.6611 0.3893 0.2208
Y3 0.4390 0.6105 0.7793
Y4 0.9982 0.7993 0.4009
Y5 0.3010 0.9990 0.0017
Tm1 0.9384 0.6106 0.7794
Tm2 0.5974 0.2000 0.6005
Tm3 0.1578 0.3894 0.2206
Tm4 0.5010 0.8001 0.3993
Sm1 0.7954 0.0011 0.9979
# ΔE_f (meV per atom): 48
# Space-group type: P1
# Crystal system: triclinic
# Relative energy among the computed polymorphs (eV per formula unit): 0.00
# E (Ry/atom): -0.4002

# Zn2CdTcPt | Alexandria via LeMat-Bulk | PBE | optimized geometry
data_Zn2CdTcPt
_chemical_formula_sum 'Zn2 Cd1 Tc1 Pt1'
_symmetry_space_group_name_H-M 'P 1'
_symmetry_Int_Tables_number 1
_cell_length_a 4.6747
_cell_length_b 5.0991
_cell_length_c 4.6747
_cell_angle_alpha 90.00
_cell_angle_beta 90.00
_cell_angle_gamma 90.00
loop_
_symmetry_equiv_pos_as_xyz
'x,y,z'
loop_
_atom_site_label
_atom_site_fract_x
_atom_site_fract_y
_atom_site_fract_z
Cd1 0.0000 0.0000 0.0000
Tc1 0.0000 0.5000 0.0000
Zn1 0.5000 0.0000 0.0000
Zn2 0.0000 0.0000 0.5000
Pt1 0.5000 0.5000 0.5000
# ΔE_f (meV per atom): 1394
# Space-group type: P4/mmm
# Crystal system: tetragonal
# E (Ry/atom): -0.1896